(1)
4
Lattice="0.298 -1.329 3.935 -0.271 2.719 3.142 -3.359 0.009 2.461" Properties=species:S:1:pos:R:3 comment="PBE BPPd2, relaxed" crystal_system=cubic formation_energy_ev_per_fu=1.526 total_magnetization_mub_per_fu=0.0 relative_energy_ev_per_atom=0.236 energy_ev_per_atom=-5.24 space_group="No. 225" pbc="T T T"
B 0.000 0.000 0.000
Pd -0.833 0.350 2.385
Pd -2.499 1.050 7.154
P -1.666 0.700 4.769

=====

(2)
7
Lattice="4.501 0.000 0.000 0.000 4.501 0.000 -2.250 -2.250 7.180" Properties=species:S:1:pos:R:3 comment="PBE CsKCaF4, relaxed" crystal_system=tetragonal total_magnetization_mub_per_fu=0.2 formation_energy_uncorrected_ev_per_atom=-3.23 energy_ev_per_atom=-4.86 space_group="No. 107" pbc="T T T"
Cs 2.250 2.250 2.181
K 0.000 0.000 5.112
Ca 2.250 2.250 7.176
F 0.000 2.250 7.086
F 2.250 0.000 7.086
F 2.250 2.250 4.948
F 0.000 0.000 2.313

=====

(3)
12
Lattice="5.428 0.000 0.753 0.000 6.722 0.000 0.248 -3.361 5.900" Properties=species:S:1:pos:R:3 comment="PBE Dy3ICl2O6, relaxed" crystal_system=monoclinic total_magnetization_mub_per_fu=0.0 formation_energy_uncorrected_ev_per_atom=-2.08 energy_ev_per_atom=-6.14 space_group="No. 12" pbc="T T T"
Dy 0.000 3.361 0.000
Dy 2.838 1.680 3.326
Dy 2.838 -1.680 3.326
Cl 4.727 0.000 4.157
Cl 0.949 3.361 2.495
O 3.876 5.038 1.292
O 1.800 -1.677 5.360
O 1.800 1.677 5.360
O 3.795 3.361 4.371
O 1.881 0.000 2.281
O 3.876 1.684 1.292
I 2.714 0.000 0.376

=====

(4)
11
Lattice="4.928 -0.194 -0.222 -0.547 6.280 0.021 -0.547 -0.815 6.227" Properties=species:S:1:pos:R:3 comment="PBE Pb2Se2O7, relaxed" crystal_system=monoclinic total_magnetization_mub_per_fu=0.0 formation_energy_uncorrected_ev_per_atom=-0.87 energy_ev_per_atom=-5.33 space_group="No. 12" pbc="T T T"
O 3.147 1.978 2.261
O 2.894 2.809 5.306
O 2.894 4.885 3.489
O 0.940 2.463 0.720
O 0.687 3.293 3.765
O 2.464 -0.097 -0.111
O 0.940 0.386 2.537
Pb -0.547 1.256 4.416
Pb -0.547 4.209 1.832
Se 1.889 1.182 1.351
Se 1.945 4.089 4.674

=====

Please write out number 2 again, unchanged.
7
Lattice="4.501 0.000 0.000 0.000 4.501 0.000 -2.250 -2.250 7.180" Properties=species:S:1:pos:R:3 comment="PBE CsKCaF4, relaxed" crystal_system=tetragonal total_magnetization_mub_per_fu=0.2 formation_energy_uncorrected_ev_per_atom=-3.23 energy_ev_per_atom=-4.86 space_group="No. 107" pbc="T T T"
Cs 2.250 2.250 2.181
K 0.000 0.000 5.112
Ca 2.250 2.250 7.176
F 0.000 2.250 7.086
F 2.250 0.000 7.086
F 2.250 2.250 4.948
F 0.000 0.000 2.313